1.
{
  "formula": "Sn2Os",
  "functional": "GGA-PBE",
  "state": "relaxed",
  "magnetic_moment_mub_per_cell": 2.6,
  "e_tot_ev_per_cell": -28.62,
  "cell": [[0.0000, 4.0712, 4.0712], [4.0712, 0.0000, 4.0712], [4.0712, 4.0712, 0.0000]],
  "species": ["Sn", "Sn", "Sn", "Sn", "Os", "Os"],
  "fractional_positions": [[0.0000, 0.0000, 0.0000], [0.0000, 0.0000, 0.5000], [0.0000, 0.5000, 0.0000], [0.5000, 0.0000, 0.0000], [0.3750, 0.3750, 0.3750], [0.6250, 0.6250, 0.6250]]
}

2.
{
  "formula": "TlCoIrOs",
  "functional": "GGA-PBE",
  "state": "relaxed",
  "magnetic_moment_mub_per_cell": 1.1,
  "e_tot_ev_per_cell": -26.40,
  "cell": [[0.0000, 3.1476, 3.1476], [3.1476, 0.0000, 3.1476], [3.1476, 3.1476, 0.0000]],
  "species": ["Tl", "Co", "Ir", "Os"],
  "fractional_positions": [[0.0000, 0.0000, 0.0000], [0.2500, 0.2500, 0.2500], [0.5000, 0.5000, 0.5000], [0.7500, 0.7500, 0.7500]]
}

3.
{
  "formula": "NbCuGePt",
  "functional": "GGA-PBE",
  "state": "relaxed",
  "magnetic_moment_mub_per_cell": 0.0,
  "e_tot_ev_per_cell": -25.21,
  "cell": [[0.0000, 3.1516, 3.1516], [3.1516, 0.0000, 3.1516], [3.1516, 3.1516, 0.0000]],
  "species": ["Nb", "Cu", "Ge", "Pt"],
  "fractional_positions": [[0.0000, 0.0000, 0.0000], [0.5000, 0.5000, 0.5000], [0.2500, 0.2500, 0.2500], [0.7500, 0.7500, 0.7500]]
}

4.
{
  "formula": "NdMgNi4H7",
  "functional": "GGA-PBE",
  "state": "relaxed",
  "magnetic_moment_mub_per_cell": 0.0,
  "e_tot_ev_per_cell": -55.37,
  "cell": [[0.0000, 3.8252, 3.8252], [3.8252, 0.0000, 3.8252], [3.8252, 3.8252, 0.0000]],
  "species": ["Nd", "Mg", "Ni", "Ni", "Ni", "Ni", "H", "H", "H", "H", "H", "H", "H"],
  "fractional_positions": [[0.0000, 0.0000, 0.0000], [0.7500, 0.7500, 0.7500], [0.3767, 0.3767, 0.3767], [0.3767, 0.3767, 0.8698], [0.3767, 0.8698, 0.3767], [0.8698, 0.3767, 0.3767], [0.0090, 0.0090, 0.4910], [0.0090, 0.4910, 0.0090], [0.0090, 0.4910, 0.4910], [0.4910, 0.0090, 0.0090], [0.4910, 0.0090, 0.4910], [0.4910, 0.4910, 0.0090], [0.5000, 0.5000, 0.5000]]
}

5.
{
  "formula": "CsBeNbPt",
  "functional": "GGA-PBE",
  "state": "relaxed",
  "magnetic_moment_mub_per_cell": 2.2,
  "e_tot_ev_per_cell": -15.19,
  "cell": [[0.0000, 3.5165, 3.5165], [3.5165, 0.0000, 3.5165], [3.5165, 3.5165, 0.0000]],
  "species": ["Cs", "Be", "Nb", "Pt"],
  "fractional_positions": [[0.0000, 0.0000, 0.0000], [0.7500, 0.7500, 0.7500], [0.5000, 0.5000, 0.5000], [0.2500, 0.2500, 0.2500]]
}

6.
{
  "formula": "Sr2SmNbO6",
  "functional": "GGA-PBE",
  "state": "relaxed",
  "magnetic_moment_mub_per_cell": 0.0,
  "e_tot_ev_per_cell": -155.91,
  "cell": [[5.8348, 0.0000, 0.0000], [0.0000, 5.9677, 0.0000], [-5.7991, 0.0000, 8.3238]],
  "species": ["Sr", "Sr", "Sr", "Sr", "Sm", "Sm", "Nb", "Nb", "O", "O", "O", "O", "O", "O", "O", "O", "O", "O", "O", "O"],
  "fractional_positions": [[0.2401, 0.0453, 0.2512], [0.2401, 0.4547, 0.7512], [0.7599, 0.5453, 0.2488], [0.7599, 0.9547, 0.7488], [0.5000, 0.0000, 0.0000], [0.5000, 0.5000, 0.5000], [0.0000, 0.0000, 0.5000], [0.0000, 0.5000, 0.0000], [0.1312, 0.2208, 0.9470], [0.1312, 0.2792, 0.4470], [0.2330, 0.6877, 0.9535], [0.2330, 0.8123, 0.4535], [0.3258, 0.0334, 0.7320], [0.3258, 0.4666, 0.2320], [0.6742, 0.5334, 0.7680], [0.6742, 0.9666, 0.2680], [0.7670, 0.1877, 0.5465], [0.7670, 0.3123, 0.0465], [0.8688, 0.7208, 0.5530], [0.8688, 0.7792, 0.0530]]
}

7.
{
  "formula": "CdB4Pd",
  "functional": "GGA-PBE",
  "state": "relaxed",
  "e_tot_ev_per_cell": -30.44,
  "cell": [[3.0650, 0.0000, 0.0000], [-1.5325, 2.6544, 0.0000], [0.0000, 0.0000, 7.6840]],
  "species": ["Cd", "B", "B", "B", "B", "Pd"],
  "fractional_positions": [[0.0000, 0.0000, 0.0000], [0.3333, 0.6667, 0.2682], [0.3333, 0.6667, 0.7318], [0.6667, 0.3333, 0.2682], [0.6667, 0.3333, 0.7318], [0.0000, 0.0000, 0.5000]]
}

8.
{
  "formula": "YB4Ir4",
  "functional": "GGA-PBE",
  "state": "relaxed",
  "magnetic_moment_mub_per_cell": 0.0,
  "e_tot_ev_per_cell": -147.15,
  "cell": [[7.6318, 0.0000, 0.0000], [0.0000, 7.6318, 0.0000], [0.0000, 0.0000, 3.9948]],
  "species": ["Y", "Y", "B", "B", "B", "B", "B", "B", "B", "B", "Ir", "Ir", "Ir", "Ir", "Ir", "Ir", "Ir", "Ir"],
  "fractional_positions": [[0.2500, 0.2500, 0.2500], [0.7500, 0.7500, 0.7500], [0.0289, 0.5918, 0.1389], [0.0918, 0.9711, 0.6389], [0.4082, 0.5289, 0.6389], [0.4711, 0.9082, 0.1389], [0.5289, 0.0918, 0.8611], [0.5918, 0.4711, 0.3611], [0.9082, 0.0289, 0.3611], [0.9711, 0.4082, 0.8611], [0.0901, 0.8596, 0.1375], [0.1404, 0.5901, 0.6375], [0.3596, 0.9099, 0.6375], [0.4099, 0.6404, 0.1375], [0.5901, 0.3596, 0.8625], [0.6404, 0.0901, 0.3625], [0.8596, 0.4099, 0.3625], [0.9099, 0.1404, 0.8625]]
}